HoGa2Co5: optimized geometry, GGA-PBE.

For the formation energy, the calculation gives -0.126 eV per atom. The crystal system is orthorhombic.

The structure belongs to space group Immm (No. 71); the cell edges are 3.628, 6.666 and 9.420 Å and the angles 90.00°, 90.00° and 90.00°. Symmetry generates all atoms from Ho at (0.000, 0.000, 0.000), Ga at (0.000, 0.500, 0.252), Co at (0.000, 0.183, 0.374) and Co at (0.000, 0.500, 0.000).


Ho2Ga4Co3: optimized geometry, GGA-PBE.

For the formation energy, the calculation gives -0.420 eV per atom. The crystal system is orthorhombic.

The structure belongs to space group Fmmm (No. 69); the cell edges are 5.228, 9.058 and 12.493 Å and the angles 90.00°, 90.00° and 90.00°. Symmetry generates all atoms from Ho at (0.000, 0.000, 0.125), Ga at (0.000, 0.170, 0.345), Co at (0.000, 0.000, 0.500) and Co at (0.250, 0.250, 0.000).


no.,VASP energy (eV for the cell shown),M_tot (μB per cell)
1,-94.34,10.68
2,-185.44,0.00